#w
Computed, not measured: a relaxed Cr2Fe2Os crystal at the PBE-GGA level of DFT.

The space group is P4/mbm (No. 127) and the conventional cell measures 6.644, 6.644 and 2.653 Å, with angles of 90.00, 90.00 and 90.00 degrees. The distinct sites, in fractional coordinates, are Cr at (0.171, 0.329, 0.000), Fe at (0.128, 0.628, 0.500) and Os at (0.000, 0.000, 0.500).

#x
Computed, not measured: a relaxed Cr2Fe2Os crystal at the PBE-GGA level of DFT.

The space group is P4/mbm (No. 127) and the conventional cell measures 6.765, 6.765 and 2.570 Å, with angles of 90.00, 90.00 and 90.00 degrees. The distinct sites, in fractional coordinates, are Cr at (0.120, 0.380, 0.000), Fe at (0.178, 0.678, 0.500) and Os at (0.000, 0.000, 0.000).

#w takes first place; second place is 0.074 eV/atom up.